! Li2LaEu (GGA-PBE, relaxed); values from VASP
! SG: P4/mmm, No. 123
! Energy relative to the elements in kJ/mol of formula units: 41.7
&SYSTEM
  ibrav = 0, nat = 4, ntyp = 3
/
ATOMIC_SPECIES
Eu 151.96 Eu.upf
Li 6.94 Li.upf
La 138.91 La.upf
ATOMIC_POSITIONS angstrom
Eu 1.937 1.937 4.107
Li 0.000 0.000 6.234
Li 0.000 0.000 1.981
La 1.937 1.937 0.000
CELL_PARAMETERS angstrom
3.874 0.000 0.000
0.000 3.874 0.000
0.000 0.000 8.214

---

! PrHoCdOs (GGA-PBE, relaxed); values from VASP
! SG: F-43m, No. 216
! Energy relative to the elements in kJ/mol of formula units: -40.1
&SYSTEM
  ibrav = 0, nat = 4, ntyp = 4
/
ATOMIC_SPECIES
Pr 140.91 Pr.upf
Os 190.23 Os.upf
Ho 164.93 Ho.upf
Cd 112.41 Cd.upf
ATOMIC_POSITIONS angstrom
Pr 0.000 0.000 0.000
Os 2.555 1.475 1.043
Ho 5.110 2.950 2.086
Cd 7.665 4.425 3.129
CELL_PARAMETERS angstrom
5.110 0.000 0.000
2.555 4.425 0.000
2.555 1.475 4.172

---

! AlHgPb2 (GGA-PBE, relaxed); values from VASP
! SG: I-42d, No. 122
! Energy relative to the elements in kJ/mol of formula units: 94.4
&SYSTEM
  ibrav = 0, nat = 8, ntyp = 3
/
ATOMIC_SPECIES
Pb 207.20 Pb.upf
Hg 200.59 Hg.upf
Al 26.98 Al.upf
ATOMIC_POSITIONS angstrom
Pb 3.397 1.136 2.748
Pb 1.146 3.407 2.748
Pb 3.407 3.417 8.243
Pb 5.679 5.669 8.243
Hg 0.000 0.000 0.000
Hg 4.543 2.272 5.495
Al 2.272 2.272 0.000
Al 2.272 4.543 5.495
CELL_PARAMETERS angstrom
4.543 0.000 0.000
0.000 4.543 0.000
2.272 2.272 10.990

---

! AcCdNiRh (GGA-PBE, relaxed); values from VASP
! SG: F-43m, No. 216
! Energy relative to the elements in kJ/mol of formula units: -60.3
&SYSTEM
  ibrav = 0, nat = 4, ntyp = 4
/
ATOMIC_SPECIES
Ni 58.69 Ni.upf
Ac 227.00 Ac.upf
Rh 102.91 Rh.upf
Cd 112.41 Cd.upf
ATOMIC_POSITIONS angstrom
Ni 0.000 0.000 0.000
Ac 0.412 -0.802 2.867
Rh 0.823 -1.605 5.735
Cd 1.235 -2.407 8.602
CELL_PARAMETERS angstrom
-0.551 1.400 4.672
-1.138 -3.314 3.437
3.336 -1.295 3.360

---

! NaFeP (GGA-PBE, relaxed); values from VASP
! SG: P-1, No. 2
! Energy relative to the elements in kJ/mol of formula units: -92.7
&SYSTEM
  ibrav = 0, nat = 6, ntyp = 3
/
ATOMIC_SPECIES
Na 22.99 Na.upf
Fe 55.84 Fe.upf
P 30.97 P.upf
ATOMIC_POSITIONS angstrom
Na 3.051 0.549 5.420
Na 1.209 1.606 2.030
Fe 1.241 -0.467 9.597
Fe 1.233 1.636 7.915
P 1.227 -0.490 7.409
P 3.034 2.645 0.040
CELL_PARAMETERS angstrom
3.673 -0.002 -0.023
1.839 3.180 -0.044
-1.788 -0.986 10.065

---

! PrHo4Al3 (GGA-PBE, relaxed); values from VASP
! SG: Immm, No. 71
! Energy relative to the elements in kJ/mol of formula units: -99.4
&SYSTEM
  ibrav = 0, nat = 8, ntyp = 3
/
ATOMIC_SPECIES
Pr 140.91 Pr.upf
Ho 164.93 Ho.upf
Al 26.98 Al.upf
ATOMIC_POSITIONS angstrom
Pr -0.627 1.500 0.448
Ho -5.133 -2.258 0.374
Ho -3.478 0.783 -1.145
Ho -4.903 1.079 -4.133
Ho -3.708 -2.554 3.362
Al -1.819 0.380 -3.822
Al -2.293 -1.247 0.967
Al -6.318 -0.227 -1.737
CELL_PARAMETERS angstrom
-1.254 3.000 0.895
-3.639 0.760 -7.643
-3.718 -5.234 5.978

---

! Ce2HgBi (GGA-PBE, relaxed); values from VASP
! SG: R-3m, No. 166
! Energy relative to the elements in kJ/mol of formula units: -146.2
&SYSTEM
  ibrav = 0, nat = 4, ntyp = 3
/
ATOMIC_SPECIES
Ce 140.12 Ce.upf
Hg 200.59 Hg.upf
Bi 208.98 Bi.upf
ATOMIC_POSITIONS angstrom
Ce -1.762 1.433 0.538
Ce -3.558 4.575 -2.450
Hg -1.141 -0.750 -1.742
Bi -0.649 3.880 -1.244
CELL_PARAMETERS angstrom
-2.283 -1.499 -3.485
-1.740 -0.253 4.061
-1.297 7.760 -2.488

---

! Pm3IrSe2 (GGA-PBE, relaxed); values from VASP
! SG: Fddd, No. 70
! Uncorrected formation energy in eV per atom: -1.447
&SYSTEM
  ibrav = 0, nat = 24, ntyp = 3
/
ATOMIC_SPECIES
Pm 145.00 Pm.upf
Ir 192.22 Ir.upf
Se 78.96 Se.upf
ATOMIC_POSITIONS angstrom
Pm 7.118 4.041 6.982
Pm 3.084 0.657 10.286
Pm 2.780 3.617 7.431
Pm 5.571 0.228 6.704
Pm 5.089 2.980 3.630
Pm 7.425 -0.128 3.096
Pm 3.303 -0.635 3.060
Pm 5.802 -4.285 2.576
Pm 1.712 -4.713 2.880
Pm 5.542 -1.059 -0.377
Pm 1.168 -1.554 -0.267
Pm 3.919 -5.216 -0.897
Ir 7.694 -1.013 8.136
Ir 7.291 1.902 5.113
Ir 5.223 0.950 1.613
Ir 1.034 0.476 1.750
Se 5.536 -0.552 11.710
Se 5.191 2.390 8.786
Se 3.464 -1.506 8.204
Se 3.120 1.436 5.280
Se 5.609 -1.974 4.606
Se 1.477 -2.420 4.841
Se 3.537 -2.927 1.100
Se -0.594 -3.374 1.335
CELL_PARAMETERS angstrom
-1.243 -6.774 2.577
6.330 0.004 -3.741
3.641 6.232 11.050